No. 1
The following is a GGA-PBE calculation of an optimized crystal structure of LaCdP2, from Alexandria.

a b c (Å): 4.993 4.993 4.993
angles (deg): 125.68 109.63 94.63
Fractional coordinates of all 4 atoms:
P (0.031, 0.031, 0.000)
P (0.469, 0.469, 0.000)
Cd (0.250, 0.750, 0.500)
La (0.750, 0.250, 0.500)

Computed properties:
ΔE_f in eV per atom: -0.514
N(E_F) in states/eV/atom: 0.42
Total moment in μB per atom: 0.000
Symmetry: Immm, No. 71
Energy relative to the lowest polymorph listed for this composition in meV per atom: 122

***

No. 2
The following is a GGA-PBE calculation of an optimized crystal structure of Cr2TeIr, from Alexandria.

a b c (Å): 4.650 4.650 3.076
angles (deg): 90.00 90.00 107.21
Last column: magnetic moment on the atom in μB.
Fractional coordinates of all 4 atoms:
Te (0.000, 0.500, 0.500)  -0.10
Ir (0.500, 0.000, 0.500)  0.12
Cr (0.000, 0.000, 0.000)  2.49
Cr (0.500, 0.500, 0.000)  2.49

Computed properties:
N(E_F) in states/eV/atom: 1.12
Total moment in μB per atom: 1.332
Symmetry: Cmmm, No. 65
Formation energy (no corrections) in kJ/mol of formula units: 135

***

No. 3
The following is a GGA-PBE calculation of an optimized crystal structure of Ca2H3Br, from Alexandria.

a b c (Å): 3.899 3.899 6.865
angles (deg): 90.00 90.00 120.00
Fractional coordinates of all 6 atoms:
Ca (0.667, 0.333, 0.815)
Ca (0.333, 0.667, 0.185)
H (0.000, 0.000, 0.000)
H (0.333, 0.667, 0.852)
H (0.667, 0.333, 0.148)
Br (0.000, 0.000, 0.500)

Computed properties:
N(E_F) in states/eV/atom: 0.00
Total moment in μB per atom: 0.000
Symmetry: P-3m1, No. 164
Electronic total energy in hartree per atom: -0.131

***

No. 4
The following is a GGA-PBE calculation of an optimized crystal structure of YZnW2, from Alexandria.

a b c (Å): 5.588 5.588 5.588
angles (deg): 144.20 133.00 60.46
Fractional coordinates of all 4 atoms:
Y (0.250, 0.750, 0.500)
W (0.990, 0.990, 0.000)
W (0.510, 0.510, 0.000)
Zn (0.750, 0.250, 0.500)

Computed properties:
ΔE_f in eV per atom: 0.484
N(E_F) in states/eV/atom: 1.08
Total moment in μB per atom: 0.000
Symmetry: Immm, No. 71

***

Q: Among the records above, which one has the lowest N(E_F)?
A: Ca2H3Br

***

Q: Which of these has the lowest N(E_F)?
A: Ca2H3Br